Entry 1:
# Rb2IrPd | Alexandria | PBE | relaxed
data_Rb2IrPd
_chemical_formula_sum 'Rb8 Ir4 Pd4'
_cell_length_a 7.837
_cell_length_b 7.837
_cell_length_c 7.837
_cell_angle_alpha 90.00
_cell_angle_beta 90.00
_cell_angle_gamma 90.00
_symmetry_space_group_name_H-M 'F m -3 m'
_symmetry_Int_Tables_number 225
_symmetry_space_group_name_Hall '-F 4 2 3'
loop_
_atom_site_label
_atom_site_fract_x
_atom_site_fract_y
_atom_site_fract_z
Rb1 0.250 0.250 0.250
Ir1 0.000 0.000 0.000
Pd1 0.000 0.000 0.500
# mass density	6.479	g/cm³
# formation enthalpy at 0 K	1191	meV per atom
# DOS at the Fermi energy	14.67	states/eV/cell
# V	30.1	Å³ per atom

Entry 2:
# RbIrPd3 | Alexandria | PBE | relaxed
data_RbIrPd3
_chemical_formula_sum 'Rb1 Ir1 Pd3'
_cell_length_a 4.980
_cell_length_b 4.980
_cell_length_c 4.980
_cell_angle_alpha 90.00
_cell_angle_beta 90.00
_cell_angle_gamma 90.00
_symmetry_space_group_name_H-M 'P m -3 m'
_symmetry_Int_Tables_number 221
_symmetry_space_group_name_Hall '-P 4 2 3'
loop_
_atom_site_label
_atom_site_fract_x
_atom_site_fract_y
_atom_site_fract_z
Rb1 0.000 0.000 0.000
Ir1 0.500 0.500 0.500
Pd1 0.000 0.000 0.500
# mass density	8.028	g/cm³
# formation enthalpy at 0 K	2210	meV per atom
# DOS at the Fermi energy	3.52	states/eV/cell
# V	24.7	Å³ per atom

Entry 3:
# RbIr2Pd | Alexandria | PBE | relaxed
data_RbIr2Pd
_chemical_formula_sum 'Rb4 Ir8 Pd4'
_cell_length_a 4.607
_cell_length_b 4.607
_cell_length_c 18.955
_cell_angle_alpha 90.00
_cell_angle_beta 90.00
_cell_angle_gamma 90.00
_symmetry_space_group_name_H-M 'I -4 2 d'
_symmetry_Int_Tables_number 122
_symmetry_space_group_name_Hall 'I -4 2bw'
loop_
_atom_site_label
_atom_site_fract_x
_atom_site_fract_y
_atom_site_fract_z
Rb1 0.000 0.000 0.000
Ir1 0.083 0.750 0.625
Pd1 0.000 0.000 0.500
# mass density	9.517	g/cm³
# formation enthalpy at 0 K	907	meV per atom
# DOS at the Fermi energy	10.81	states/eV/cell
# V	25.1	Å³ per atom

Entry 4:
# RbIrPd2 | Alexandria | PBE | relaxed
data_RbIrPd2
_chemical_formula_sum 'Rb4 Ir4 Pd8'
_cell_length_a 6.764
_cell_length_b 6.764
_cell_length_c 6.764
_cell_angle_alpha 90.00
_cell_angle_beta 90.00
_cell_angle_gamma 90.00
_symmetry_space_group_name_H-M 'F m -3 m'
_symmetry_Int_Tables_number 225
_symmetry_space_group_name_Hall '-F 4 2 3'
loop_
_atom_site_label
_atom_site_fract_x
_atom_site_fract_y
_atom_site_fract_z
Rb1 0.000 0.000 0.000
Ir1 0.000 0.000 0.500
Pd1 0.250 0.250 0.250
# mass density	10.526	g/cm³
# formation enthalpy at 0 K	929	meV per atom
# DOS at the Fermi energy	16.84	states/eV/cell
# V	19.3	Å³ per atom

Entry 5:
# Rb3IrPd | Alexandria | PBE | relaxed
data_Rb3IrPd
_chemical_formula_sum 'Rb3 Ir1 Pd1'
_cell_length_a 6.268
_cell_length_b 6.268
_cell_length_c 6.268
_cell_angle_alpha 90.00
_cell_angle_beta 90.00
_cell_angle_gamma 90.00
_symmetry_space_group_name_H-M 'P m -3 m'
_symmetry_Int_Tables_number 221
_symmetry_space_group_name_Hall '-P 4 2 3'
loop_
_atom_site_label
_atom_site_fract_x
_atom_site_fract_y
_atom_site_fract_z
Rb1 0.000 0.000 0.500
Ir1 0.500 0.500 0.500
Pd1 0.000 0.000 0.000
# mass density	3.743	g/cm³
# formation enthalpy at 0 K	960	meV per atom
# DOS at the Fermi energy	6.90	states/eV/cell
# V	49.3	Å³ per atom

Entry 6:
# RbIrPd3 | Alexandria | PBE | relaxed
data_RbIrPd3
_chemical_formula_sum 'Rb1 Ir1 Pd3'
_cell_length_a 4.997
_cell_length_b 4.997
_cell_length_c 4.997
_cell_angle_alpha 90.00
_cell_angle_beta 90.00
_cell_angle_gamma 90.00
_symmetry_space_group_name_H-M 'P m -3 m'
_symmetry_Int_Tables_number 221
_symmetry_space_group_name_Hall '-P 4 2 3'
loop_
_atom_site_label
_atom_site_fract_x
_atom_site_fract_y
_atom_site_fract_z
Rb1 0.000 0.000 0.000
Ir1 0.500 0.500 0.500
Pd1 0.000 0.500 0.500
# mass density	7.945	g/cm³
# formation enthalpy at 0 K	707	meV per atom
# DOS at the Fermi energy	7.25	states/eV/cell
# V	25.0	Å³ per atom

Polymorph energy (0 for the lowest one) per entry: 0.4539, 1.5030, 0.0000, 0.2780, 0.0000, 0.0000 eV per atom
E per entry: -2.807, -2.871, -5.063, -4.124, -2.431, -4.374 eV/atom